Here is a geometry-optimized SrCdTeO structure from the Open Quantum Materials Database. Energies are from PBE.

The crystal system is orthorhombic. As for the space group: Cmc2_1. The value obtained for the total DFT energy (no corrections) is -3.97 eV per atom.

abc: 7.1069 7.1069 7.4194
angles: 90.00 90.00 147.48
Last column: nearest neighbours and their distance in Å.
Element x y z (fractional)
Cd (0.6899, 0.3101, 0.0179)  2 O 2.31
Cd (0.3101, 0.6899, 0.5178)  2 O 2.31
O (0.8921, 0.1079, 0.4692)  2 Cd 2.31, 2 Sr 2.37-2.40
O (0.1079, 0.8921, 0.9692)  2 Cd 2.31, 2 Sr 2.37-2.40
Sr (0.9825, 0.0175, 0.1963)  2 O 2.37-2.40
Sr (0.0175, 0.9825, 0.6963)  2 O 2.37-2.40
Te (0.6467, 0.3533, 0.4241)  3 Cd 3.07, 2 Sr 3.34, 1 O 3.36
Te (0.3533, 0.6467, 0.9241)  3 Cd 3.07, 2 Sr 3.34, 1 O 3.36